[1]
DFT (PBE-GGA) results for Li3B4C4 after structural relaxation.

a = 7.715 Å, b = 7.715 Å, c = 9.423 Å
α = 106.89°, β = 106.89°, γ = 20.36°
Positions (direct):
1 Li 0.000 0.000 0.000
2 Li 0.000 0.000 0.500
3 Li 0.247 0.247 0.643
4 Li 0.496 0.496 0.748
5 Li 0.504 0.504 0.252
6 Li 0.753 0.753 0.357
7 B 0.119 0.119 0.891
8 B 0.128 0.128 0.396
9 B 0.375 0.375 0.858
10 B 0.380 0.380 0.356
11 B 0.620 0.620 0.644
12 B 0.625 0.625 0.142
13 B 0.872 0.872 0.604
14 B 0.881 0.881 0.109
15 C 0.115 0.115 0.723
16 C 0.127 0.127 0.228
17 C 0.374 0.374 0.521
18 C 0.384 0.384 0.028
19 C 0.616 0.616 0.972
20 C 0.626 0.626 0.479
21 C 0.873 0.873 0.772
22 C 0.885 0.885 0.277

Values from the calculation:
ΔH_f (0 K) = -0.2270 eV/atom
Crystal system = monoclinic


[2]
DFT (PBE-GGA) results for ZrPd2F after structural relaxation.

a = 5.717 Å, b = 5.717 Å, c = 5.717 Å
α = 101.25°, β = 101.25°, γ = 127.58°
Positions (direct):
1 Zr 0.000 0.000 0.000
2 Zr 0.750 0.250 0.500
3 Pd 0.145 0.625 0.020
4 Pd 0.375 0.395 0.520
5 Pd 0.605 0.125 0.980
6 Pd 0.875 0.855 0.480
7 F 0.250 0.750 0.500
8 F 0.500 0.500 0.000

Values from the calculation:
Formation energy from raw total energies = -818 meV per atom
Crystal system = tetragonal


Calculated DFT total energy, -6.5313 -6.0196 eV/atom (same order as the records).
Calculated size of the total moment, 0.00 0.00 μB/cell (same order as the records).